No. 1
RbV2AgO6 | PBE with a Hubbard U | optimized geometry

Output
The space-group type is C2/c, No. 15. For the final energy, the calculation gives -6.4988 eV/atom.

Cell lengths 5.944, 8.132, 8.132 Å; angles 95.23, 78.80, 78.80 degrees
Fractional positions:
O  0.060  0.675  0.635
O  0.763  0.048  0.247
O  0.237  0.952  0.753
O  0.737  0.753  0.952
O  0.394  0.817  0.417
O  0.940  0.325  0.365
O  0.894  0.417  0.817
O  0.560  0.635  0.675
O  0.263  0.247  0.048
O  0.440  0.365  0.325
O  0.106  0.583  0.183
O  0.606  0.183  0.583
V  0.816  0.617  0.772
V  0.684  0.228  0.383
V  0.316  0.772  0.617
V  0.184  0.383  0.228
Rb  0.750  0.110  0.890
Rb  0.250  0.890  0.110
Ag  0.250  0.261  0.739
Ag  0.750  0.739  0.261



No. 2
RbAgWO4 | PBE with a Hubbard U | optimized geometry

Output
The space-group type is P2_1/m, No. 11. For the final energy, the calculation gives -5.9707 eV/atom.

Cell lengths 6.271, 6.855, 7.162 Å; angles 90.00, 109.70, 90.00 degrees
Fractional positions:
Rb  0.722  0.750  0.995
Rb  0.278  0.250  0.005
Ag  0.060  0.250  0.416
Ag  0.940  0.750  0.584
W  0.698  0.250  0.624
W  0.302  0.750  0.376
O  0.852  0.037  0.753
O  0.319  0.750  0.637
O  0.852  0.463  0.753
O  0.416  0.250  0.646
O  0.584  0.750  0.354
O  0.681  0.250  0.363
O  0.148  0.537  0.247
O  0.148  0.963  0.247



Number 1 is which compound?
RbV2AgO6



Which value of final energy does entry 2 give?
-5.9707 eV/atom